Record 1
VASP calculation (PBE) on a relaxed structure of MnBr4.

a b c (Å): 7.791 7.791 7.791
angles (deg): 92.04 92.04 158.24
Last column: magnetic moment on the atom in μB.
Fractional positions:
Br  0.718  0.453  0.172  -0.02
Br  0.282  0.547  0.828  -0.02
Br  0.453  0.282  0.735  -0.02
Br  0.547  0.718  0.265  -0.02
Mn  0.000  0.000  0.000  4.24

Values from the calculation:
Space group: I4/m, No. 87

***

Record 2
VASP calculation (PBE) on a relaxed structure of CsPt3N.

a b c (Å): 4.491 4.491 4.491
angles (deg): 90.00 90.00 90.00
Fractional positions:
Pt  0.000  0.000  0.500
Pt  0.500  0.000  0.000
Pt  0.000  0.500  0.000
N  0.000  0.000  0.000
Cs  0.500  0.500  0.500

Values from the calculation:
Space group: Pm-3m, No. 221
ΔE to the lowest computed polymorph (meV/atom): 0

***

Record 3
VASP calculation (PBE) on a relaxed structure of Y6Er2Tl.

a b c (Å): 4.906 10.631 10.631
angles (deg): 90.00 90.00 90.00
Fractional positions:
Y  0.500  0.841  0.341
Y  0.500  0.834  0.002
Y  0.000  0.666  0.502
Y  0.500  0.159  0.659
Y  0.000  0.998  0.834
Y  0.000  0.002  0.166
Y  0.500  0.166  0.998
Y  0.000  0.334  0.498
Y  0.500  0.502  0.334
Y  0.500  0.498  0.666
Y  0.000  0.659  0.841
Y  0.000  0.341  0.159
Er  0.000  0.666  0.166
Er  0.000  0.334  0.834
Er  0.500  0.166  0.334
Er  0.500  0.834  0.666
Tl  0.000  0.000  0.500
Tl  0.500  0.500  0.000

Values from the calculation:
Space group: P4_2/mnm, No. 136
ΔE to the lowest computed polymorph (meV/atom): 0
ΔE_f (eV/atom): -0.0406

***

Number 1: M_tot 4.41 μB/f.u., final energy -16.5 eV per formula unit. Number 2: M_tot 0.00 μB/f.u., final energy -22.6 eV per formula unit. Number 3: M_tot 0.01 μB/f.u., final energy -50.6 eV per formula unit.